A plane-wave DFT calculation with GGA-PBE was carried out for crystalline Sc3AlTl at its relaxed geometry.

a = 4.570 Å, b = 4.573 Å, c = 10.797 Å
α = 90.00°, β = 77.78°, γ = 90.00°
Atoms (fractional coordinates):
1 Sc 0.769 0.250 0.110
2 Sc 0.380 0.250 0.888
3 Sc 0.574 0.250 0.500
4 Sc 0.268 0.750 0.112
5 Sc 0.879 0.750 0.890
6 Sc 0.074 0.750 0.500
7 Al 0.671 0.750 0.306
8 Al 0.977 0.250 0.694
9 Tl 0.476 0.750 0.695
10 Tl 0.172 0.250 0.305

Computed properties:
Space group   Cmcm
Energy of formation   -0.266 eV per atom
Polymorph energy (0 for the lowest one)   0 meV/atom

***

A plane-wave DFT calculation with GGA-PBE was carried out for crystalline Sc6Al3Tl at its relaxed geometry.

a = 4.831 Å, b = 8.689 Å, c = 10.533 Å
α = 105.99°, β = 90.00°, γ = 90.00°
Atoms (fractional coordinates):
1 Sc 0.250 0.450 0.084
2 Sc 0.750 0.550 0.916
3 Sc 0.250 0.135 0.178
4 Sc 0.750 0.865 0.822
5 Sc 0.250 0.650 0.682
6 Sc 0.750 0.350 0.318
7 Sc 0.250 0.265 0.507
8 Sc 0.750 0.735 0.493
9 Sc 0.250 0.822 0.287
10 Sc 0.750 0.178 0.713
11 Sc 0.250 0.098 0.889
12 Sc 0.750 0.902 0.111
13 Al 0.250 0.531 0.380
14 Al 0.750 0.469 0.620
15 Al 0.250 0.383 0.793
16 Al 0.750 0.617 0.207
17 Al 0.250 0.775 0.975
18 Al 0.750 0.225 0.025
19 Tl 0.250 0.949 0.606
20 Tl 0.750 0.051 0.394

Computed properties:
Space group   P2_1/m
Energy of formation   -0.327 eV per atom

***

A plane-wave DFT calculation with GGA-PBE was carried out for crystalline Sc2AlTl at its relaxed geometry.

a = 4.986 Å, b = 4.986 Å, c = 5.968 Å
α = 79.89°, β = 79.89°, γ = 39.04°
Atoms (fractional coordinates):
1 Sc 0.005 0.005 0.982
2 Sc 0.495 0.495 0.518
3 Tl 0.250 0.250 0.250
4 Al 0.750 0.750 0.750

Computed properties:
Space group   C2/m
Energy of formation   -0.190 eV per atom

***

A plane-wave DFT calculation with GGA-PBE was carried out for crystalline Sc2AlTl at its relaxed geometry.

a = 3.178 Å, b = 4.229 Å, c = 6.346 Å
α = 90.00°, β = 90.00°, γ = 90.00°
Atoms (fractional coordinates):
1 Sc 0.000 0.000 0.988
2 Sc 0.000 0.000 0.512
3 Tl 0.500 0.500 0.250
4 Al 0.500 0.500 0.750

Computed properties:
Space group   Pmmm
Energy of formation   -0.325 eV per atom